## NbSnSbO6 (GGA-PBE)

Data for an optimized crystal structure of NbSnSbO6.

Cell: 5.415 5.415 10.447 Å, 90.00 90.00 120.00°
Positions (direct):
Nb 0.333 0.667 0.250
O 0.378 0.998 0.644
O 0.998 0.378 0.144
O 0.380 0.002 0.144
Nb 0.667 0.333 0.750
O 0.002 0.380 0.644
Sb 0.333 0.667 0.750
Sn 0.000 0.000 0.500
O 0.002 0.622 0.856
O 0.622 0.002 0.356
O 0.620 0.622 0.644
O 0.998 0.620 0.356
Sn 0.000 0.000 0.000
O 0.378 0.380 0.856
Sb 0.667 0.333 0.250
O 0.620 0.998 0.856
O 0.622 0.620 0.144
O 0.380 0.378 0.356

## SrNbSb2O8 (GGA-PBE)

Data for an optimized crystal structure of SrNbSb2O8.

Calculated values
- DOS(E_F) (states/eV/atom) = 0.111

Cell: 4.984 4.984 6.691 Å, 90.00 90.00 87.27°
Positions (direct):
O 0.669 0.669 0.500
O 0.203 0.796 0.210
O 0.303 0.303 0.000
Nb 0.000 0.000 0.000
O 0.697 0.697 0.000
Sr 0.000 0.000 0.500
O 0.797 0.204 0.790
O 0.203 0.796 0.790
Sb 0.500 0.500 0.753
O 0.331 0.331 0.500
Sb 0.500 0.500 0.247
O 0.797 0.204 0.210

## SrNbSbO6 (GGA-PBE)

Data for an optimized crystal structure of SrNbSbO6.

Calculated values
- DOS(E_F) (states/eV/atom) = 0.000

Cell: 5.403 5.403 10.757 Å, 90.00 90.00 120.00°
Positions (direct):
O 0.620 0.618 0.646
O 0.002 0.620 0.354
O 0.998 0.618 0.854
O 0.618 0.998 0.354
Sb 0.667 0.333 0.750
O 0.380 0.998 0.146
Sr 0.000 0.000 0.000
O 0.002 0.382 0.146
Sb 0.333 0.667 0.250
O 0.620 0.002 0.854
Sr 0.000 0.000 0.500
Nb 0.333 0.667 0.750
O 0.380 0.382 0.354
O 0.998 0.380 0.646
O 0.618 0.620 0.146
O 0.382 0.380 0.854
O 0.382 0.002 0.646
Nb 0.667 0.333 0.250

The evaluated ΔE_f (raw) for the records listed, in turn: -1.770 -1.918 -2.305 eV per atom.
The evaluated E for the records listed, in turn: -127.75 -82.67 -132.74 eV per cell.